Entry from Alexandria: a geometry-optimized CsZn2Ag structure (GGA-PBE).

## Properties
Its space group is I4_1/amd (141). The total magnetic moment comes out at 0.0 μB/f.u. The offset from the most stable computed form is 143.0 meV/atom. Its formation energy is 0.131 eV/atom.

Cell: 5.7403 5.7403 9.5567 Å, 72.52 72.52 90.00°
Closest atoms and distances in Å follow each position.
Positions (direct):
Zn: 0.3750 0.6253 0.7500  2 Ag 2.60, 2 Zn 2.87
Ag: 0.2500 0.7500 0.5000  4 Zn 2.60
Zn: 0.8750 0.6247 0.7500  2 Ag 2.60, 2 Zn 2.87
Ag: 0.5000 0.5000 0.0000  4 Zn 2.60
Zn: 0.3747 0.1250 0.2500  2 Ag 2.60, 2 Zn 2.87
Zn: 0.3753 0.6250 0.2500  2 Ag 2.60, 2 Zn 2.87
Cs: 0.7500 0.2500 0.5000  8 Zn 3.87, 4 Ag 4.06
Cs: 0.0000 0.0000 0.0000  8 Zn 3.87, 4 Ag 4.06


Entry from Alexandria: a geometry-optimized CsZn3Ag3 structure (GGA-PBE).

## Properties
Its space group is Pm-3n (223). The total magnetic moment comes out at 0.0 μB/f.u. Its formation energy is 0.192 eV/atom.

Cell: 7.3847 7.3847 7.3847 Å, 90.00 90.00 90.00°
Closest atoms and distances in Å follow each position.
Positions (direct):
Zn: 0.5000 0.0000 0.2500  4 Ag 2.61
Zn: 0.2500 0.5000 0.0000  4 Ag 2.61
Zn: 0.0000 0.2500 0.5000  4 Ag 2.61
Ag: 0.7500 0.0000 0.5000  4 Zn 2.61
Cs: 0.5000 0.5000 0.5000  12 Zn 4.13, 12 Ag 4.13
Ag: 0.5000 0.7500 0.0000  4 Zn 2.61
Zn: 0.5000 0.0000 0.7500  4 Ag 2.61
Zn: 0.0000 0.7500 0.5000  4 Ag 2.61
Ag: 0.2500 0.0000 0.5000  4 Zn 2.61
Zn: 0.7500 0.5000 0.0000  4 Ag 2.61
Ag: 0.0000 0.5000 0.2500  4 Zn 2.61
Cs: 0.0000 0.0000 0.0000  12 Zn 4.13, 12 Ag 4.13
Ag: 0.0000 0.5000 0.7500  4 Zn 2.61
Ag: 0.5000 0.2500 0.0000  4 Zn 2.61


Entry from Alexandria: a geometry-optimized Cs2ZnAg structure (GGA-PBE).

## Properties
Its space group is I-42d (122). The total magnetic moment comes out at 0.0 μB/f.u. The offset from the most stable computed form is 227.3 meV/atom. Its formation energy is 0.261 eV/atom.

Cell: 10.1042 10.1042 8.2670 Å, 52.33 52.33 90.00°
Closest atoms and distances in Å follow each position.
Positions (direct):
Ag: 0.7500 0.2500 0.5000  4 Cs 3.65
Zn: 0.5000 0.5000 0.0000  4 Cs 3.79, 2 Ag 4.16
Cs: 0.1151 0.6250 0.2500  2 Ag 3.65, 2 Zn 3.79
Zn: 0.2500 0.7500 0.5000  4 Cs 3.79, 2 Ag 4.16
Cs: 0.8750 0.8849 0.7500  2 Ag 3.65, 2 Zn 3.79
Ag: 0.0000 0.0000 0.0000  4 Cs 3.65
Cs: 0.6349 0.1250 0.2500  2 Ag 3.65, 2 Zn 3.79
Cs: 0.3750 0.3651 0.7500  2 Ag 3.65, 2 Zn 3.79


Entry from Alexandria: a geometry-optimized CsZr2Ag structure (GGA-PBE).

## Properties
Its space group is Fm-3m (225). The total magnetic moment comes out at 0.0 μB/f.u. Its formation energy is 0.987 eV/atom.

Cell: 5.1161 5.1161 5.1161 Å, 60.00 60.00 60.00°
Closest atoms and distances in Å follow each position.
Positions (direct):
Ag: 0.0000 0.0000 0.0000  8 Zr 3.13
Zr: 0.7500 0.7500 0.7500  4 Cs 3.13, 4 Ag 3.13
Zr: 0.2500 0.2500 0.2500  4 Cs 3.13, 4 Ag 3.13
Cs: 0.5000 0.5000 0.5000  8 Zr 3.13


Entry from Alexandria: a geometry-optimized Cs2Zr2Ag structure (GGA-PBE).

## Properties
Its space group is I4/mmm (139). The total magnetic moment comes out at 0.0 μB/f.u. Its formation energy is 1.303 eV/atom.

Cell: 4.5657 4.5657 9.4738 Å, 76.06 76.06 90.00°
Closest atoms and distances in Å follow each position.
Positions (direct):
Cs: 0.7500 0.2500 0.5000  4 Cs 3.23
Zr: 0.5668 0.5668 0.8665  1 Zr 2.38
Ag: 0.0000 0.0000 0.0000  8 Zr 3.44
Zr: 0.4332 0.4332 0.1335  1 Zr 2.38
Cs: 0.2500 0.7500 0.5000  4 Cs 3.23


Entry from Alexandria: a geometry-optimized CsZrAg2 structure (GGA-PBE).

## Properties
Its space group is I-42d (122). The total magnetic moment comes out at 0.0 μB/f.u. Its formation energy is 0.794 eV/atom.

Cell: 8.3717 8.3717 6.9813 Å, 53.16 53.16 90.00°
Closest atoms and distances in Å follow each position.
Positions (direct):
Zr: 0.2500 0.7500 0.5000  4 Ag 2.79
Ag: 0.8750 0.8156 0.7500  2 Zr 2.79
Cs: 0.7500 0.2500 0.5000  8 Ag 3.46-3.82, 2 Zr 3.70
Zr: 0.5000 0.5000 0.0000  4 Ag 2.79
Ag: 0.1844 0.6250 0.2500  2 Zr 2.79
Ag: 0.3750 0.4344 0.7500  2 Zr 2.79
Cs: 0.0000 0.0000 0.0000  8 Ag 3.46-3.82, 2 Zr 3.70
Ag: 0.5656 0.1250 0.2500  2 Zr 2.79


Entry from Alexandria: a geometry-optimized CuAg2 structure (GGA-PBE).

## Properties
Its space group is Fd-3m (227). The total magnetic moment comes out at 0.0 μB/f.u. The offset from the most stable computed form is 345.7 meV/atom. Its formation energy is 0.428 eV/atom.

Cell: 5.3723 5.3723 5.3723 Å, 60.00 60.00 60.00°
Closest atoms and distances in Å follow each position.
Positions (direct):
Ag: 0.6250 0.1250 0.1250  6 Ag 2.69
Ag: 0.1250 0.1250 0.1250  6 Ag 2.69
Cu: 0.5000 0.5000 0.5000  12 Ag 3.15, 4 Cu 3.29
Ag: 0.1250 0.1250 0.6250  6 Ag 2.69
Cu: 0.7500 0.7500 0.7500  12 Ag 3.15, 4 Cu 3.29
Ag: 0.1250 0.6250 0.1250  6 Ag 2.69


Entry from Alexandria: a geometry-optimized CuAg structure (GGA-PBE).

## Properties
Its space group is P4_2/mnm (136). The total magnetic moment comes out at 0.0 μB/f.u. Its formation energy is 0.386 eV/atom.

Cell: 5.0952 5.0952 5.1994 Å, 90.00 90.00 90.00°
Closest atoms and distances in Å follow each position.
Positions (direct):
Cu: 0.6819 0.3181 0.0000  6 Ag 2.59-2.67, 1 Cu 2.62
Cu: 0.8181 0.8181 0.5000  6 Ag 2.59-2.67, 1 Cu 2.62
Cu: 0.1819 0.1819 0.5000  6 Ag 2.59-2.67, 1 Cu 2.62
Ag: 0.6906 0.3094 0.5000  6 Cu 2.59-2.67, 1 Ag 2.75
Ag: 0.1906 0.1906 0.0000  6 Cu 2.59-2.67, 1 Ag 2.75
Cu: 0.3181 0.6819 0.0000  6 Ag 2.59-2.67, 1 Cu 2.62
Ag: 0.8094 0.8094 0.0000  6 Cu 2.59-2.67, 1 Ag 2.75
Ag: 0.3094 0.6906 0.5000  6 Cu 2.59-2.67, 1 Ag 2.75


Entry from Alexandria: a geometry-optimized CuAg structure (GGA-PBE).

## Properties
Its space group is Cmcm (63). The total magnetic moment comes out at 0.0 μB/f.u. Its formation energy is 0.120 eV/atom.

Cell: 2.7803 5.3060 4.2462 Å, 90.00 90.00 74.81°
Closest atoms and distances in Å follow each position.
Positions (direct):
Ag: 0.1702 0.6597 0.7500  7 Cu 2.72-2.78, 6 Ag 2.78-3.02
Cu: 0.5645 0.8709 0.2500  4 Cu 2.50-2.78, 7 Ag 2.72-2.78
Cu: 0.4355 0.1291 0.7500  4 Cu 2.50-2.78, 7 Ag 2.72-2.78
Ag: 0.8298 0.3403 0.2500  7 Cu 2.72-2.78, 6 Ag 2.78-3.02


Entry from Alexandria: a geometry-optimized CuAg5 structure (GGA-PBE).

## Properties
Its space group is Cm (8). The total magnetic moment comes out at 0.0 μB/f.u. The offset from the most stable computed form is 0.0 meV/atom. Its formation energy is 0.065 eV/atom.

Cell: 5.5488 5.5488 10.9749 Å, 140.43 140.43 30.29°
Closest atoms and distances in Å follow each position.
Positions (direct):
Ag: 0.0094 0.0094 0.9974  3 Cu 2.79-3.03, 9 Ag 2.85-2.91
Ag: 0.3316 0.3316 0.6606  11 Ag 2.85-2.98, 1 Cu 2.95
Ag: 0.4409 0.4409 0.3893  10 Ag 2.85-2.98, 2 Cu 2.86
Cu: 0.7808 0.7808 0.0610  10 Ag 2.78-3.03, 2 Cu 2.90
Ag: 0.6445 0.6445 0.3144  2 Cu 2.78, 9 Ag 2.87-2.95
Ag: 0.1261 0.1261 0.7440  2 Cu 2.78, 9 Ag 2.88-2.98


total magnetic moment of number 3 (Cs2ZnAg)?
0.0 μB/f.u.


What did the second record say?
Entry from Alexandria: a geometry-optimized CsZn3Ag3 structure (GGA-PBE).

## Properties
Its space group is Pm-3n (223). The total magnetic moment comes out at 0.0 μB/f.u. Its formation energy is 0.192 eV/atom.

Cell: 7.3847 7.3847 7.3847 Å, 90.00 90.00 90.00°
Closest atoms and distances in Å follow each position.
Positions (direct):
Zn: 0.5000 0.0000 0.2500  4 Ag 2.61
Zn: 0.2500 0.5000 0.0000  4 Ag 2.61
Zn: 0.0000 0.2500 0.5000  4 Ag 2.61
Ag: 0.7500 0.0000 0.5000  4 Zn 2.61
Cs: 0.5000 0.5000 0.5000  12 Zn 4.13, 12 Ag 4.13
Ag: 0.5000 0.7500 0.0000  4 Zn 2.61
Zn: 0.5000 0.0000 0.7500  4 Ag 2.61
Zn: 0.0000 0.7500 0.5000  4 Ag 2.61
Ag: 0.2500 0.0000 0.5000  4 Zn 2.61
Zn: 0.7500 0.5000 0.0000  4 Ag 2.61
Ag: 0.0000 0.5000 0.2500  4 Zn 2.61
Cs: 0.0000 0.0000 0.0000  12 Zn 4.13, 12 Ag 4.13
Ag: 0.0000 0.5000 0.7500  4 Zn 2.61
Ag: 0.5000 0.2500 0.0000  4 Zn 2.61


What is the formula in the third record?
Cs2ZnAg